No. 1
{
  "formula": "Li2CaInN",
  "functional": "PBE",
  "state": "optimized geometry",
  "lattice": [[4.4314, 0.0000, 0.0000], [0.0000, 4.4314, 0.0000], [0.0000, 0.0000, 4.7304]],
  "species": ["Li", "Li", "Ca", "In", "N"],
  "fractional_positions": [[0.0000, 0.5000, 0.0000], [0.5000, 0.0000, 0.0000], [0.0000, 0.0000, 0.5000], [0.5000, 0.5000, 0.5000], [0.0000, 0.0000, 0.0000]],
  "density_g_cm3": 3.27,
  "raw_formation_energy_ev_per_atom": -0.231
}

No. 2
{
  "formula": "SbPd2Pt",
  "functional": "PBE",
  "state": "optimized geometry",
  "lattice": [[4.0479, 0.0000, 0.0000], [0.0000, 4.0479, 0.0000], [0.0000, 0.0000, 4.0964]],
  "species": ["Sb", "Pd", "Pd", "Pt"],
  "fractional_positions": [[0.0000, 0.0000, 0.0000], [0.0000, 0.5000, 0.5000], [0.5000, 0.0000, 0.5000], [0.5000, 0.5000, 0.0000]],
  "density_g_cm3": 13.10,
  "raw_formation_energy_ev_per_atom": -0.302
}